(1)
Entry from Alexandria: an optimized crystal structure of MgBi3Pt (PBE).

Geometry as POSCAR:
```
MgBi3Pt
1.0
-3.537 -3.632 -2.081
3.931 -3.818 -0.019
-1.438 -1.505 5.069
Pt Bi Mg
1 3 1
Cartesian
0.000 0.000 0.000
-0.719 -0.753 2.535
-1.768 -1.816 -1.041
1.966 -1.909 -0.009
-0.521 -4.477 1.484
```

Results
* density of states at the Fermi level: 1.010 states/eV/atom
* SG: No. 221
* ΔE to the lowest computed polymorph: 0.000 eV per atom
* total moment: 0.0 μB/cell
* calculated formation energy: 0.3106 eV/atom
* final energy: -17.73 eV per cell

=====

(2)
Entry from Alexandria: an optimized crystal structure of TiAsCO2 (PBE).

Geometry as POSCAR:
```
TiAsCO2
1.0
3.696 0.000 0.000
0.000 4.212 0.000
0.000 0.000 3.696
C O Ti As
1 2 1 1
Cartesian
0.000 0.000 0.000
0.000 0.000 1.848
1.848 0.000 0.000
0.000 2.106 0.000
1.848 2.106 1.848
```

Results
* density of states at the Fermi level: 0.571 states/eV/atom
* SG: No. 123
* total moment: 0.0 μB/cell
* formation energy (no corrections): 14.16 kcal/mol of atoms
* final energy: -28.62 eV per cell

=====

(3)
Entry from Alexandria: an optimized crystal structure of CdInI4 (PBE).

Geometry as POSCAR:
```
CdInI4
1.0
7.282 0.101 0.401
1.188 6.989 3.001
0.086 -0.854 11.830
I Cd In
8 2 2
Cartesian
4.840 4.434 9.369
5.176 6.282 5.152
3.716 1.804 5.863
7.259 1.018 8.050
7.342 2.747 3.770
1.214 3.491 11.462
3.380 -0.045 10.081
1.296 5.219 7.182
5.610 0.553 4.070
2.946 5.685 11.162
2.393 2.543 8.822
6.163 3.694 6.410
```

Results
* density of states at the Fermi level: 0.477 states/eV/atom
* SG: No. 15
* ΔE to the lowest computed polymorph: 0.024 eV per atom
* total moment: 0.0 μB/cell
* formation energy (no corrections): -10.35 kcal/mol of atoms
* final energy: -25.09 eV per cell

=====

(4)
Entry from Alexandria: an optimized crystal structure of TmPuCo4 (PBE).

Geometry as POSCAR:
```
TmPuCo4
1.0
-4.459 -0.899 2.121
-2.622 -4.077 -1.302
-0.516 -3.794 3.245
Co Pu Tm
4 1 1
Cartesian
-2.519 -5.031 1.479
-4.747 -5.481 2.539
-4.490 -3.585 0.918
-3.437 -3.444 3.190
-1.899 -2.193 1.016
0.000 0.000 0.000
```

Results
* density of states at the Fermi level: 1.388 states/eV/atom
* SG: No. 216
* total moment: 1.2 μB/cell
* calculated formation energy: -0.2108 eV/atom
* final energy: -48.49 eV per cell

=====

(5)
Entry from Alexandria: an optimized crystal structure of Th6Ir2OsS3 (PBE).

Geometry as POSCAR:
```
Th6Ir2OsS3
1.0
-2.460 -0.250 -3.263
-5.960 -3.813 4.786
-0.353 9.214 2.129
S Th Os Ir
3 6 1 2
Cartesian
-3.282 5.289 -0.499
-4.210 -2.031 0.762
-5.491 -0.139 4.151
-3.595 4.347 2.378
-1.413 -0.813 1.128
-7.360 5.964 2.524
-6.480 2.724 4.677
-5.179 0.804 1.275
-2.293 2.427 -1.025
-1.230 -0.125 -1.631
-2.524 1.765 1.768
-6.249 3.385 1.884
```

Results
* density of states at the Fermi level: 0.845 states/eV/atom
* SG: No. 12
* total moment: 0.0 μB/cell
* formation energy (no corrections): -29.17 kcal/mol of atoms
* final energy: -101.03 eV per cell

=====

(6)
Entry from Alexandria: an optimized crystal structure of KZnCo2 (PBE).

Geometry as POSCAR:
```
KZnCo2
1.0
4.092 0.002 0.021
2.044 3.545 0.021
2.020 1.168 6.066
K Co Zn
1 2 1
Cartesian
4.075 2.355 3.124
6.113 3.534 5.845
2.022 1.169 5.854
2.045 1.182 0.405
```

Results
* density of states at the Fermi level: 0.767 states/eV/atom
* SG: No. 8
* total moment: 2.6 μB/cell
* calculated formation energy: 0.3256 eV/atom
* final energy: -15.28 eV per cell